The following is a PBE-GGA calculation of crystalline ScSi2Pt4 at its relaxed geometry, from Alexandria.

Values from the calculation:
Uncorrected formation energy (eV/atom): -0.8916
M_tot (μB per atom): 0.0000
V (Å³/atom): 15.82

a b c (Å): 16.4584 4.1098 6.5478
angles (deg): 90.00 90.00 90.00
Last column: nearest neighbours and their distance in Å.
Atoms (fractional coordinates):
Sc (0.1427, 0.2500, 0.0607)  8 Pt 2.84-2.99, 3 Si 2.92-3.10
Sc (0.3573, 0.7500, 0.5607)  8 Pt 2.84-2.99, 3 Si 2.92-3.10
Sc (0.6427, 0.2500, 0.4393)  8 Pt 2.84-2.99, 3 Si 2.92-3.10
Sc (0.8573, 0.7500, 0.9393)  8 Pt 2.84-2.99, 3 Si 2.92-3.10
Si (0.0398, 0.7500, 0.2427)  5 Pt 2.39-2.51
Si (0.2091, 0.2500, 0.6176)  7 Pt 2.38-2.63
Si (0.2909, 0.7500, 0.1176)  7 Pt 2.38-2.63
Si (0.4602, 0.2500, 0.7427)  5 Pt 2.39-2.51
Si (0.5398, 0.7500, 0.2573)  5 Pt 2.39-2.51
Si (0.7091, 0.2500, 0.8824)  7 Pt 2.38-2.63
Si (0.7909, 0.7500, 0.3824)  7 Pt 2.38-2.63
Si (0.9602, 0.2500, 0.7573)  5 Pt 2.39-2.51
Pt (0.0366, 0.7500, 0.8668)  3 Si 2.46-2.51
Pt (0.0667, 0.2500, 0.5076)  2 Si 2.40-2.45
Pt (0.1744, 0.7500, 0.3817)  4 Si 2.39-2.63
Pt (0.2108, 0.7500, 0.8147)  3 Si 2.38-2.43
Pt (0.2892, 0.2500, 0.3147)  3 Si 2.38-2.43
Pt (0.3256, 0.2500, 0.8817)  4 Si 2.39-2.63
Pt (0.4333, 0.7500, 0.0076)  2 Si 2.40-2.45
Pt (0.4634, 0.2500, 0.3668)  3 Si 2.46-2.51
Pt (0.5366, 0.7500, 0.6332)  3 Si 2.46-2.51
Pt (0.5667, 0.2500, 0.9924)  2 Si 2.40-2.45
Pt (0.6744, 0.7500, 0.1183)  4 Si 2.39-2.63
Pt (0.7108, 0.7500, 0.6853)  3 Si 2.38-2.43
Pt (0.7892, 0.2500, 0.1853)  3 Si 2.38-2.43
Pt (0.8256, 0.2500, 0.6183)  4 Si 2.39-2.63
Pt (0.9333, 0.7500, 0.4924)  2 Si 2.40-2.45
Pt (0.9634, 0.2500, 0.1332)  3 Si 2.46-2.51